! Sc3HgC (PBE, relaxed); values from VASP
! - Size of the total moment: 1.116 μB per cell
! - Raw total energy: -6.23 eV/atom
&SYSTEM
  ibrav = 0, nat = 10, ntyp = 3
/
ATOMIC_SPECIES
Sc 44.96 Sc.upf
Hg 200.59 Hg.upf
C 12.01 C.upf
ATOMIC_POSITIONS crystal
Sc 0.688 0.244 0.755
Sc 0.688 0.489 0.010
Hg 0.188 0.869 0.880
Sc 0.688 0.744 0.255
Hg 0.188 0.618 0.630
Sc 0.188 0.382 0.392
Sc 0.688 0.999 0.500
Sc 0.188 0.106 0.118
C 0.688 0.370 0.381
C 0.688 0.118 0.129
CELL_PARAMETERS angstrom
-4.189 0.931 -1.526
0.979 -4.554 -5.465
-1.529 -7.012 -0.081

=====

! Sc3HgC (PBE, relaxed); values from VASP
! - Size of the total moment: 0.000 μB per cell
! - Raw total energy: -5.92 eV/atom
&SYSTEM
  ibrav = 0, nat = 10, ntyp = 3
/
ATOMIC_SPECIES
Sc 44.96 Sc.upf
Hg 200.59 Hg.upf
C 12.01 C.upf
ATOMIC_POSITIONS crystal
Sc 0.807 0.181 0.819
Hg 0.424 0.980 0.020
Hg 0.576 0.020 0.980
Sc 0.036 0.302 0.698
Sc 0.964 0.698 0.302
Sc 0.645 0.151 0.849
C 0.104 0.054 0.946
Sc 0.355 0.849 0.151
C 0.896 0.946 0.054
Sc 0.193 0.819 0.181
CELL_PARAMETERS angstrom
16.328 0.000 -0.865
5.995 1.840 -3.801
-5.995 1.840 3.801

=====

! Sc3HgC (PBE, relaxed); values from VASP
! - Size of the total moment: 0.000 μB per cell
! - Raw total energy: -5.76 eV/atom
&SYSTEM
  ibrav = 0, nat = 20, ntyp = 3
/
ATOMIC_SPECIES
Sc 44.96 Sc.upf
Hg 200.59 Hg.upf
C 12.01 C.upf
ATOMIC_POSITIONS crystal
Sc 0.570 0.572 0.648
Sc 0.570 0.928 0.648
Hg 0.500 0.000 0.000
Sc 0.070 0.928 0.852
Sc 0.930 0.072 0.148
Sc 0.430 0.428 0.352
Hg 0.000 0.000 0.500
Sc 0.721 0.750 0.250
Sc 0.279 0.250 0.750
Sc 0.930 0.428 0.148
Hg 0.000 0.500 0.500
Sc 0.070 0.572 0.852
Sc 0.779 0.250 0.750
C 0.018 0.250 0.956
C 0.482 0.750 0.456
Hg 0.500 0.500 0.000
C 0.518 0.250 0.544
C 0.982 0.750 0.044
Sc 0.430 0.072 0.352
Sc 0.221 0.750 0.250
CELL_PARAMETERS angstrom
-0.227 -1.631 6.108
7.588 -3.067 -0.536
2.972 7.007 1.981

=====

! ScHgC2 (PBE, relaxed); values from VASP
! - Size of the total moment: 0.000 μB per cell
! - Raw total energy: -4.92 eV/atom
&SYSTEM
  ibrav = 0, nat = 8, ntyp = 3
/
ATOMIC_SPECIES
C 12.01 C.upf
Sc 44.96 Sc.upf
Hg 200.59 Hg.upf
ATOMIC_POSITIONS crystal
C 0.124 0.625 0.250
Sc 0.500 0.500 0.000
C 0.626 0.125 0.250
Sc 0.250 0.750 0.500
C 0.875 0.876 0.750
Hg 0.750 0.250 0.500
Hg 0.000 0.000 0.000
C 0.375 0.374 0.750
CELL_PARAMETERS angstrom
4.491 0.000 0.000
0.000 4.491 0.000
2.246 2.246 6.372

=====

! Sc4Hg2C (PBE, relaxed); values from VASP
! - Size of the total moment: 0.002 μB per cell
! - Raw total energy: -5.41 eV/atom
&SYSTEM
  ibrav = 0, nat = 7, ntyp = 3
/
ATOMIC_SPECIES
Sc 44.96 Sc.upf
Hg 200.59 Hg.upf
C 12.01 C.upf
ATOMIC_POSITIONS crystal
Sc 0.000 0.500 0.000
Sc 0.163 0.163 0.674
Sc 0.500 0.000 0.000
Hg 0.636 0.636 0.728
Sc 0.837 0.837 0.326
C 0.000 0.000 0.000
Hg 0.364 0.364 0.272
CELL_PARAMETERS angstrom
-0.466 2.739 -3.584
-4.274 0.885 1.232
-0.107 7.303 2.726

=====

! Sc4HgC (PBE, relaxed); values from VASP
! - Size of the total moment: 0.872 μB per cell
! - Raw total energy: -5.79 eV/atom
&SYSTEM
  ibrav = 0, nat = 6, ntyp = 3
/
ATOMIC_SPECIES
Sc 44.96 Sc.upf
C 12.01 C.upf
Hg 200.59 Hg.upf
ATOMIC_POSITIONS crystal
Sc 0.000 0.500 0.302
C 0.500 0.500 0.500
Sc 0.000 0.500 0.698
Sc 0.500 0.000 0.698
Hg 0.000 0.000 0.000
Sc 0.500 0.000 0.302
CELL_PARAMETERS angstrom
-1.765 2.193 -3.081
0.181 -3.347 -2.487
-6.287 -1.973 2.197

=====

! ScHg2C (PBE, relaxed); values from VASP
! - Size of the total moment: 0.000 μB per cell
! - Raw total energy: -3.49 eV/atom
&SYSTEM
  ibrav = 0, nat = 8, ntyp = 3
/
ATOMIC_SPECIES
Sc 44.96 Sc.upf
Hg 200.59 Hg.upf
C 12.01 C.upf
ATOMIC_POSITIONS crystal
Sc 0.750 0.250 0.500
Sc 0.000 0.000 0.000
Hg 0.875 0.774 0.750
Hg 0.375 0.476 0.750
Hg 0.524 0.125 0.250
C 0.500 0.500 0.000
C 0.250 0.750 0.500
Hg 0.226 0.625 0.250
CELL_PARAMETERS angstrom
8.322 0.000 0.000
0.000 8.322 0.000
4.161 4.161 2.277

=====

! Sc2HgC (PBE, relaxed); values from VASP
! - Size of the total moment: 0.388 μB per cell
! - Raw total energy: -5.08 eV/atom
&SYSTEM
  ibrav = 0, nat = 4, ntyp = 3
/
ATOMIC_SPECIES
Sc 44.96 Sc.upf
C 12.01 C.upf
Hg 200.59 Hg.upf
ATOMIC_POSITIONS crystal
Sc 0.250 0.250 0.250
Sc 0.750 0.750 0.750
C 0.000 0.000 0.000
Hg 0.500 0.500 0.500
CELL_PARAMETERS angstrom
0.000 3.273 3.273
3.273 0.000 3.273
3.273 3.273 0.000

=====

! ScHgC3 (PBE, relaxed); values from VASP
! - Size of the total moment: 0.000 μB per cell
! - Raw total energy: -4.42 eV/atom
&SYSTEM
  ibrav = 0, nat = 5, ntyp = 3
/
ATOMIC_SPECIES
Sc 44.96 Sc.upf
C 12.01 C.upf
Hg 200.59 Hg.upf
ATOMIC_POSITIONS crystal
Sc 0.000 0.000 0.000
C 0.000 0.000 0.500
C 0.000 0.500 0.000
C 0.500 0.000 0.000
Hg 0.500 0.500 0.500
CELL_PARAMETERS angstrom
-0.238 0.733 -4.270
-3.654 -2.331 -0.196
-2.327 3.585 0.745

=====

! Sc3HgC (PBE, relaxed); values from VASP
! - Size of the total moment: 0.000 μB per cell
! - Raw total energy: -6.03 eV/atom
&SYSTEM
  ibrav = 0, nat = 20, ntyp = 3
/
ATOMIC_SPECIES
Sc 44.96 Sc.upf
Hg 200.59 Hg.upf
C 12.01 C.upf
ATOMIC_POSITIONS crystal
Sc 0.361 0.250 0.361
Hg 0.914 0.750 0.914
Sc 0.639 0.750 0.639
C 0.116 0.265 0.616
Sc 0.545 0.758 0.045
Hg 0.586 0.250 0.586
Sc 0.861 0.250 0.861
C 0.884 0.735 0.384
C 0.384 0.765 0.884
Sc 0.455 0.242 0.955
Sc 0.045 0.742 0.545
Sc 0.246 0.006 0.746
Sc 0.139 0.750 0.139
Sc 0.254 0.506 0.754
Sc 0.955 0.258 0.455
Sc 0.746 0.494 0.246
Hg 0.414 0.750 0.414
Hg 0.086 0.250 0.086
Sc 0.754 0.994 0.254
C 0.616 0.235 0.116
CELL_PARAMETERS angstrom
20.778 0.000 -1.884
0.000 5.881 0.000
-7.368 0.000 3.766

=====

! Sc2HgC (PBE, relaxed); values from VASP
! - Size of the total moment: 0.000 μB per cell
! - Raw total energy: -5.73 eV/atom
&SYSTEM
  ibrav = 0, nat = 8, ntyp = 3
/
ATOMIC_SPECIES
C 12.01 C.upf
Sc 44.96 Sc.upf
Hg 200.59 Hg.upf
ATOMIC_POSITIONS crystal
C 0.500 0.500 0.000
Sc 0.875 0.782 0.750
Hg 0.000 0.000 0.000
Sc 0.375 0.468 0.750
Sc 0.218 0.625 0.250
Sc 0.532 0.125 0.250
C 0.250 0.750 0.500
Hg 0.750 0.250 0.500
CELL_PARAMETERS angstrom
6.604 0.000 0.000
0.000 6.604 0.000
3.302 3.302 3.651

=====

! ScHgC (PBE, relaxed); values from VASP
! - Size of the total moment: 0.000 μB per cell
! - Raw total energy: -5.20 eV/atom
&SYSTEM
  ibrav = 0, nat = 6, ntyp = 3
/
ATOMIC_SPECIES
Sc 44.96 Sc.upf
C 12.01 C.upf
Hg 200.59 Hg.upf
ATOMIC_POSITIONS crystal
Sc 0.625 0.625 0.124
C 0.290 0.290 0.129
C 0.710 0.710 0.871
Hg 0.795 0.795 0.614
Hg 0.205 0.205 0.386
Sc 0.375 0.375 0.876
CELL_PARAMETERS angstrom
-2.359 0.368 -3.077
-1.567 -3.165 -1.641
-8.179 -0.301 3.770

=====

! Sc3HgC (PBE, relaxed); values from VASP
! - Size of the total moment: 0.249 μB per cell
! - Raw total energy: -5.44 eV/atom
&SYSTEM
  ibrav = 0, nat = 5, ntyp = 3
/
ATOMIC_SPECIES
Sc 44.96 Sc.upf
Hg 200.59 Hg.upf
C 12.01 C.upf
ATOMIC_POSITIONS crystal
Sc 0.500 0.000 0.424
Sc 0.000 0.000 0.726
Hg 0.000 0.000 0.102
C 0.500 0.500 0.589
Sc 0.000 0.500 0.424
CELL_PARAMETERS angstrom
-0.261 0.562 -3.759
-1.265 -3.566 -0.445
-7.317 2.487 0.879

=====

! ScHg3C (PBE, relaxed); values from VASP
! - Size of the total moment: 2.690 μB per cell
! - Raw total energy: -1.66 eV/atom
&SYSTEM
  ibrav = 0, nat = 5, ntyp = 3
/
ATOMIC_SPECIES
Hg 200.59 Hg.upf
Sc 44.96 Sc.upf
C 12.01 C.upf
ATOMIC_POSITIONS crystal
Hg 0.000 0.000 0.500
Hg 0.000 0.500 0.000
Hg 0.500 0.000 0.000
Sc 0.000 0.000 0.000
C 0.500 0.500 0.500
CELL_PARAMETERS angstrom
5.697 0.000 0.000
0.000 5.697 0.000
0.000 0.000 5.697

=====

! Sc3HgC (PBE, relaxed); values from VASP
! - Size of the total moment: 0.000 μB per cell
! - Raw total energy: -5.13 eV/atom
&SYSTEM
  ibrav = 0, nat = 10, ntyp = 3
/
ATOMIC_SPECIES
Sc 44.96 Sc.upf
Hg 200.59 Hg.upf
C 12.01 C.upf
ATOMIC_POSITIONS crystal
Sc 0.000 0.000 0.000
Sc 0.085 0.414 0.250
Hg 0.165 0.835 0.250
Sc 0.414 0.085 0.750
C 0.566 0.434 0.750
C 0.434 0.566 0.250
Hg 0.835 0.165 0.750
Sc 0.915 0.586 0.750
Sc 0.000 0.000 0.500
Sc 0.586 0.915 0.250
CELL_PARAMETERS angstrom
2.665 -7.860 0.000
2.665 7.860 0.000
0.000 0.000 5.713

=====

! Sc2HgC (PBE, relaxed); values from VASP
! - Size of the total moment: 0.000 μB per cell
! - Raw total energy: -5.68 eV/atom
&SYSTEM
  ibrav = 0, nat = 4, ntyp = 3
/
ATOMIC_SPECIES
Sc 44.96 Sc.upf
Hg 200.59 Hg.upf
C 12.01 C.upf
ATOMIC_POSITIONS crystal
Sc 0.000 0.000 0.678
Hg 0.500 0.500 0.000
C 0.500 0.500 0.500
Sc 0.000 0.000 0.322
CELL_PARAMETERS angstrom
3.046 -0.111 0.000
-0.788 2.944 0.000
0.000 0.000 7.827

=====

! Sc3HgC (PBE, relaxed); values from VASP
! - Size of the total moment: 0.000 μB per cell
! - Raw total energy: -5.89 eV/atom
&SYSTEM
  ibrav = 0, nat = 10, ntyp = 3
/
ATOMIC_SPECIES
Sc 44.96 Sc.upf
C 12.01 C.upf
Hg 200.59 Hg.upf
ATOMIC_POSITIONS crystal
Sc 0.667 0.333 0.119
Sc 0.000 0.000 0.250
C 0.333 0.667 0.750
Hg 0.000 0.000 0.000
Sc 0.333 0.667 0.619
C 0.667 0.333 0.250
Sc 0.667 0.333 0.381
Hg 0.000 0.000 0.500
Sc 0.000 0.000 0.750
Sc 0.333 0.667 0.881
CELL_PARAMETERS angstrom
3.322 -1.918 0.000
0.000 3.836 0.000
0.000 0.000 16.915

=====

! Sc3HgC (PBE, relaxed); values from VASP
! - Size of the total moment: 0.002 μB per cell
! - Raw total energy: -5.19 eV/atom
&SYSTEM
  ibrav = 0, nat = 5, ntyp = 3
/
ATOMIC_SPECIES
Sc 44.96 Sc.upf
Hg 200.59 Hg.upf
C 12.01 C.upf
ATOMIC_POSITIONS crystal
Sc 0.279 0.870 0.870
Hg 0.761 0.761 0.761
Sc 0.870 0.870 0.279
Sc 0.870 0.279 0.870
C 0.094 0.094 0.094
CELL_PARAMETERS angstrom
4.621 0.000 2.985
-2.310 4.002 2.985
-2.310 -4.002 2.985

=====

! Sc3HgC (PBE, relaxed); values from VASP
! - Size of the total moment: 0.000 μB per cell
! - Raw total energy: -4.91 eV/atom
&SYSTEM
  ibrav = 0, nat = 10, ntyp = 3
/
ATOMIC_SPECIES
Sc 44.96 Sc.upf
Hg 200.59 Hg.upf
C 12.01 C.upf
ATOMIC_POSITIONS crystal
Sc 0.126 0.874 0.252
Hg 0.000 0.000 0.000
Hg 0.250 0.750 0.500
C 0.782 0.282 0.436
Sc 0.126 0.378 0.748
Sc 0.622 0.874 0.252
Sc 0.718 0.718 0.565
Sc 0.282 0.282 0.435
Sc 0.126 0.874 0.748
C 0.718 0.218 0.564
CELL_PARAMETERS angstrom
5.321 0.000 0.000
0.000 5.321 0.000
2.661 2.661 10.350

=====

! Sc2HgC (PBE, relaxed); values from VASP
! - Size of the total moment: 0.000 μB per cell
! - Raw total energy: -4.77 eV/atom
&SYSTEM
  ibrav = 0, nat = 4, ntyp = 3
/
ATOMIC_SPECIES
Sc 44.96 Sc.upf
Hg 200.59 Hg.upf
C 12.01 C.upf
ATOMIC_POSITIONS crystal
Sc 0.919 0.919 0.919
Hg 0.500 0.500 0.500
C 0.000 0.000 0.000
Sc 0.081 0.081 0.081
CELL_PARAMETERS angstrom
2.039 0.000 8.560
-1.019 1.766 8.560
-1.019 -1.766 8.560

=====

! Sc3HgC (PBE, relaxed); values from VASP
! - Size of the total moment: 0.000 μB per cell
! - Raw total energy: -5.97 eV/atom
&SYSTEM
  ibrav = 0, nat = 20, ntyp = 3
/
ATOMIC_SPECIES
Sc 44.96 Sc.upf
Hg 200.59 Hg.upf
C 12.01 C.upf
ATOMIC_POSITIONS crystal
Sc 0.408 0.640 0.735
Sc 0.061 0.913 0.728
Sc 0.932 0.423 0.577
Hg 0.250 0.739 0.239
Sc 0.939 0.087 0.272
Sc 0.439 0.228 0.413
Sc 0.592 0.360 0.265
Sc 0.561 0.772 0.587
Sc 0.432 0.923 0.077
C 0.671 0.813 0.500
Hg 0.750 0.261 0.761
C 0.829 0.000 0.313
Sc 0.092 0.235 0.140
Sc 0.908 0.765 0.860
Hg 0.750 0.580 0.080
Hg 0.250 0.420 0.920
Sc 0.568 0.077 0.923
C 0.329 0.187 0.500
C 0.171 0.000 0.687
Sc 0.068 0.577 0.423
CELL_PARAMETERS angstrom
12.789 0.000 -0.391
5.379 4.953 -3.389
-5.379 4.953 3.389

=====

! Sc3HgC (PBE, relaxed); values from VASP
! - Size of the total moment: 0.004 μB per cell
! - Raw total energy: -6.11 eV/atom
&SYSTEM
  ibrav = 0, nat = 20, ntyp = 3
/
ATOMIC_SPECIES
C 12.01 C.upf
Sc 44.96 Sc.upf
Hg 200.59 Hg.upf
ATOMIC_POSITIONS crystal
C 0.750 0.185 0.685
Sc 0.081 0.965 0.899
C 0.250 0.547 0.047
Hg 0.088 0.486 0.371
Sc 0.424 0.136 0.205
Hg 0.912 0.514 0.629
Hg 0.412 0.871 0.986
Sc 0.919 0.035 0.101
Sc 0.928 0.764 0.858
C 0.250 0.815 0.315
Hg 0.588 0.129 0.014
Sc 0.076 0.705 0.636
Sc 0.419 0.399 0.465
Sc 0.572 0.358 0.264
Sc 0.576 0.864 0.795
Sc 0.072 0.236 0.142
Sc 0.428 0.642 0.736
C 0.750 0.453 0.953
Sc 0.581 0.601 0.535
Sc 0.924 0.295 0.364
CELL_PARAMETERS angstrom
12.224 0.000 0.778
4.909 6.317 -2.205
-4.909 6.317 2.205

=====

! Sc3HgC (PBE, relaxed); values from VASP
! - Size of the total moment: 1.891 μB per cell
! - Raw total energy: -6.15 eV/atom
&SYSTEM
  ibrav = 0, nat = 10, ntyp = 3
/
ATOMIC_SPECIES
C 12.01 C.upf
Sc 44.96 Sc.upf
Hg 200.59 Hg.upf
ATOMIC_POSITIONS crystal
C 0.339 0.299 0.467
Sc 0.589 0.299 0.717
Sc 0.090 0.299 0.217
Hg 0.589 0.799 0.717
Sc 0.089 0.056 0.717
Hg 0.090 0.799 0.217
Sc 0.090 0.542 0.716
Sc 0.589 0.056 0.217
Sc 0.590 0.542 0.216
C 0.839 0.299 0.967
CELL_PARAMETERS angstrom
-2.330 2.372 4.502
4.678 -2.387 3.669
2.191 5.120 0.550